Entry 1:
{
  "formula": "Ce4ThPa",
  "functional": "GGA-PBE",
  "state": "optimized geometry",
  "lattice_angstrom": [[0.000, 4.297, 4.297], [4.297, 0.000, 4.297], [4.297, 4.297, 0.000]],
  "species": ["Ce", "Ce", "Ce", "Ce", "Th", "Pa"],
  "frac_coords": [[0.376, 0.376, 0.376], [0.376, 0.376, 0.874], [0.376, 0.874, 0.376], [0.874, 0.376, 0.376], [0.000, 0.000, 0.000], [0.750, 0.750, 0.750]],
  "e_above_lowest_polymorph_mev_per_atom": 210,
  "formation_enthalpy_0k_ev_per_atom": 0.2436,
  "dft_energy_ev_per_atom": -6.532,
  "rho_g_cm3": 10.711
}



Entry 2:
{
  "formula": "BeAlCuAg",
  "functional": "GGA-PBE",
  "state": "optimized geometry",
  "lattice_angstrom": [[5.961, 0.000, 0.000], [0.000, 5.961, 0.000], [0.000, 0.000, 5.961]],
  "species": ["Be", "Be", "Be", "Be", "Al", "Al", "Al", "Al", "Cu", "Cu", "Cu", "Cu", "Ag", "Ag", "Ag", "Ag"],
  "frac_coords": [[0.000, 0.000, 0.000], [0.000, 0.500, 0.500], [0.500, 0.000, 0.500], [0.500, 0.500, 0.000], [0.000, 0.000, 0.500], [0.000, 0.500, 0.000], [0.500, 0.000, 0.000], [0.500, 0.500, 0.500], [0.250, 0.250, 0.750], [0.250, 0.750, 0.250], [0.750, 0.250, 0.250], [0.750, 0.750, 0.750], [0.250, 0.250, 0.250], [0.250, 0.750, 0.750], [0.750, 0.250, 0.750], [0.750, 0.750, 0.250]],
  "formation_enthalpy_0k_ev_per_atom": 0.0275,
  "dft_energy_ev_per_atom": -3.577,
  "rho_g_cm3": 6.504
}



Entry 3:
{
  "formula": "Ac2BiP3Pd12",
  "functional": "GGA-PBE",
  "state": "optimized geometry",
  "lattice_angstrom": [[4.263, 2.461, 5.922], [-4.263, 2.461, 5.922], [0.000, -4.923, 5.922]],
  "species": ["Ac", "Ac", "Bi", "P", "P", "P", "Pd", "Pd", "Pd", "Pd", "Pd", "Pd", "Pd", "Pd", "Pd", "Pd", "Pd", "Pd"],
  "frac_coords": [[0.104, 0.104, 0.104], [0.896, 0.896, 0.896], [0.500, 0.500, 0.500], [0.000, 0.500, 0.500], [0.500, 0.000, 0.500], [0.500, 0.500, 0.000], [0.103, 0.641, 0.641], [0.209, 0.209, 0.631], [0.209, 0.631, 0.209], [0.359, 0.359, 0.897], [0.359, 0.897, 0.359], [0.369, 0.791, 0.791], [0.631, 0.209, 0.209], [0.641, 0.103, 0.641], [0.641, 0.641, 0.103], [0.791, 0.369, 0.791], [0.791, 0.791, 0.369], [0.897, 0.359, 0.359]],
  "formation_enthalpy_0k_ev_per_atom": -0.3832,
  "dft_energy_ev_per_atom": -5.419,
  "rho_g_cm3": 9.054
}



no.,total magnetic moment (μB per formula unit),density of states at the Fermi level (states/eV per cell)
1,0.0,20.3
2,0.0,4.0
3,0.0,6.1